First-principles (GGA-PBEsol) data for a geometry-optimized Zr2CrPW structure, as listed in the Alexandria database.

Cell: 4.7858 4.7858 4.2832 Å, 90.00 90.00 90.00°
Fractional coordinates of all 5 atoms:
Zr: 0.0000 0.5000 0.0000
Zr: 0.5000 0.0000 0.0000
Cr: 0.0000 0.0000 0.0000
P: 0.5000 0.5000 0.5000
W: 0.0000 0.0000 0.5000

Results
Its space group is P4/mmm. Its formation energy is 0.796 eV per atom.

---

First-principles (GGA-PBEsol) data for a geometry-optimized MnHgTe2 structure, as listed in the Alexandria database.

Cell: 5.1267 5.1267 5.1267 Å, 60.00 60.00 60.00°
Fractional coordinates of all 4 atoms:
Mn: 0.0000 0.0000 0.0000
Hg: 0.7500 0.7500 0.7500
Te: 0.2500 0.2500 0.2500
Te: 0.5000 0.5000 0.5000

Results
Its space group is F-43m. Its uncorrected formation energy is 0.46 eV/atom.

---

First-principles (GGA-PBEsol) data for a geometry-optimized ScTa2Mo structure, as listed in the Alexandria database.

Cell: 3.2370 3.2370 6.8797 Å, 90.00 90.00 90.00°
Fractional coordinates of all 4 atoms:
Sc: 0.0000 0.0000 0.0000
Ta: 0.0000 0.0000 0.5294
Ta: 0.5000 0.5000 0.2922
Mo: 0.5000 0.5000 0.7376

Results
Its space group is P4mm. Its formation energy is 0.125 eV per atom. The energy relative to the lowest polymorph listed for this composition comes out at 31.6 meV/atom.

---

First-principles (GGA-PBEsol) data for a geometry-optimized MnAlPt2 structure, as listed in the Alexandria database.

Cell: 2.8089 4.4431 4.5515 Å, 90.00 90.00 90.00°
Fractional coordinates of all 4 atoms:
Mn: 0.0000 0.0000 0.0000
Al: 0.0000 0.5000 0.4100
Pt: 0.5000 0.0000 0.5014
Pt: 0.5000 0.5000 0.9100

Results
Its space group is Pmm2. Its formation energy is -0.611 eV per atom.

---

First-principles (GGA-PBEsol) data for a geometry-optimized BaAlZn4 structure, as listed in the Alexandria database.

Cell: 5.5238 5.5238 5.5238 Å, 60.00 60.00 60.00°
Fractional coordinates of all 6 atoms:
Ba: 0.0000 0.0000 0.0000
Al: 0.7500 0.7500 0.7500
Zn: 0.3763 0.3763 0.3763
Zn: 0.3763 0.3763 0.8710
Zn: 0.3763 0.8710 0.3763
Zn: 0.8710 0.3763 0.3763

Results
Its space group is F-43m. Its formation energy is 0.039 eV per atom.

---

First-principles (GGA-PBEsol) data for a geometry-optimized InNiAg structure, as listed in the Alexandria database.

Cell: 5.2053 5.2053 5.2053 Å, 144.63 144.63 50.89°
Fractional coordinates of all 3 atoms:
In: 0.0000 0.0000 0.0000
Ni: 0.3530 0.3530 0.0000
Ag: 0.6915 0.6915 0.0000

Results
Its space group is I4mm. Its formation energy is 0.018 eV per atom.

---

First-principles (GGA-PBEsol) data for a geometry-optimized SrCdNi2 structure, as listed in the Alexandria database.

Cell: 3.1866 3.1866 7.2407 Å, 90.00 90.00 90.00°
Fractional coordinates of all 4 atoms:
Sr: 0.0000 0.0000 0.0000
Cd: 0.5000 0.5000 0.3556
Ni: 0.0000 0.0000 0.5970
Ni: 0.5000 0.5000 0.7096

Results
Its space group is P4mm. Its formation energy is 0.167 eV per atom.

---

First-principles (GGA-PBEsol) data for a geometry-optimized AgB2Ir2 structure, as listed in the Alexandria database.

Cell: 7.2978 7.2978 7.2978 Å, 157.00 157.00 32.75°
Fractional coordinates of all 5 atoms:
Ag: 0.0000 0.0000 0.0000
B: 0.2500 0.7500 0.5000
B: 0.7500 0.2500 0.5000
Ir: 0.3598 0.3598 0.0000
Ir: 0.6402 0.6402 0.0000

Results
Its space group is I4/mmm. Its formation energy is -0.103 eV per atom.

---

First-principles (GGA-PBEsol) data for a geometry-optimized LaPdSe2 structure, as listed in the Alexandria database.

Cell: 8.7100 8.7100 8.7100 Å, 24.93 24.93 24.93°
Fractional coordinates of all 4 atoms:
La: 0.0000 0.0000 0.0000
Pd: 0.5000 0.5000 0.5000
Se: 0.1149 0.1149 0.1149
Se: 0.8851 0.8851 0.8851

Results
Its space group is R-3m. The energy relative to the lowest polymorph listed for this composition comes out at 563.6 meV/atom. Its uncorrected formation energy is -0.40 eV/atom.

---

First-principles (GGA-PBEsol) data for a geometry-optimized RbTi3Si2P6O25 structure, as listed in the Alexandria database.

Cell: 8.3194 8.3194 17.2720 Å, 90.00 90.00 120.00°
Fractional coordinates of all 74 atoms:
Rb: 0.3333 0.6667 0.2500
Rb: 0.6667 0.3333 0.7500
Ti: 0.3333 0.6667 0.0235
Ti: 0.3333 0.6667 0.4765
Ti: 0.3333 0.6667 0.7500
Ti: 0.6667 0.3333 0.2500
Ti: 0.6667 0.3333 0.5235
Ti: 0.6667 0.3333 0.9765
Si: 0.0000 0.0000 0.0923
Si: 0.0000 0.0000 0.4077
Si: 0.0000 0.0000 0.5923
Si: 0.0000 0.0000 0.9077
P: 0.0512 0.3842 0.6094
P: 0.0512 0.6671 0.8906
P: 0.3329 0.3842 0.8906
P: 0.3329 0.9488 0.6094
P: 0.3842 0.0512 0.1094
P: 0.3842 0.3329 0.3906
P: 0.6158 0.6671 0.6094
P: 0.6158 0.9488 0.8906
P: 0.6671 0.0512 0.3906
P: 0.6671 0.6158 0.1094
P: 0.9488 0.3329 0.1094
P: 0.9488 0.6158 0.3906
O: 0.0000 0.0000 0.0000
O: 0.0000 0.0000 0.5000
O: 0.0212 0.1919 0.1259
O: 0.0212 0.8292 0.3741
O: 0.1205 0.5196 0.0917
O: 0.1205 0.6009 0.4083
O: 0.1353 0.4805 0.6857
O: 0.1353 0.6547 0.8143
O: 0.1708 0.1919 0.3741
O: 0.1708 0.9788 0.1259
O: 0.1896 0.4457 0.5425
O: 0.1896 0.7439 0.9575
O: 0.1919 0.0212 0.6259
O: 0.1919 0.1708 0.8741
O: 0.2561 0.4457 0.9575
O: 0.2561 0.8104 0.5425
O: 0.3453 0.4805 0.8143
O: 0.3453 0.8647 0.6857
O: 0.3991 0.5196 0.4083
O: 0.3991 0.8795 0.0917
O: 0.4457 0.1896 0.0425
O: 0.4457 0.2561 0.4575
O: 0.4804 0.6009 0.0917
O: 0.4804 0.8795 0.4083
O: 0.4805 0.1353 0.1857
O: 0.4805 0.3453 0.3143
O: 0.5195 0.6547 0.6857
O: 0.5195 0.8647 0.8143
O: 0.5196 0.1205 0.5917
O: 0.5196 0.3991 0.9083
O: 0.5543 0.7439 0.5425
O: 0.5543 0.8104 0.9575
O: 0.6009 0.1205 0.9083
O: 0.6009 0.4804 0.5917
O: 0.6547 0.1353 0.3143
O: 0.6547 0.5195 0.1857
O: 0.7439 0.1896 0.4575
O: 0.7439 0.5543 0.0425
O: 0.8081 0.8292 0.1259
O: 0.8081 0.9788 0.3741
O: 0.8104 0.2561 0.0425
O: 0.8104 0.5543 0.4575
O: 0.8292 0.0212 0.8741
O: 0.8292 0.8081 0.6259
O: 0.8647 0.3453 0.1857
O: 0.8647 0.5195 0.3143
O: 0.8795 0.3991 0.5917
O: 0.8795 0.4804 0.9083
O: 0.9788 0.1708 0.6259
O: 0.9788 0.8081 0.8741

Results
Its space group is P-31c. Its uncorrected formation energy is -2.55 eV/atom.

---

First-principles (GGA-PBEsol) data for a geometry-optimized ScIr2 structure, as listed in the Alexandria database.

Cell: 4.4100 4.4100 2.7466 Å, 90.00 90.00 120.00°
Fractional coordinates of all 3 atoms:
Sc: 0.0000 0.0000 0.0000
Ir: 0.3333 0.6667 0.2727
Ir: 0.6667 0.3333 0.7273

Results
Its space group is P-3m1. Its formation energy is -0.255 eV per atom.

---

First-principles (GGA-PBEsol) data for a geometry-optimized Y2ScPt structure, as listed in the Alexandria database.

Cell: 5.0234 5.0234 5.0234 Å, 60.00 60.00 60.00°
Fractional coordinates of all 4 atoms:
Y: 0.2500 0.2500 0.2500
Y: 0.7500 0.7500 0.7500
Sc: 0.0000 0.0000 0.0000
Pt: 0.5000 0.5000 0.5000

Results
Its space group is Fm-3m. Its formation energy is -0.364 eV per atom. The energy relative to the lowest polymorph listed for this composition comes out at 258.3 meV/atom.

---

Copy entry 3 word for word.
First-principles (GGA-PBEsol) data for a geometry-optimized ScTa2Mo structure, as listed in the Alexandria database.

Cell: 3.2370 3.2370 6.8797 Å, 90.00 90.00 90.00°
Fractional coordinates of all 4 atoms:
Sc: 0.0000 0.0000 0.0000
Ta: 0.0000 0.0000 0.5294
Ta: 0.5000 0.5000 0.2922
Mo: 0.5000 0.5000 0.7376

Results
Its space group is P4mm. Its formation energy is 0.125 eV per atom. The energy relative to the lowest polymorph listed for this composition comes out at 31.6 meV/atom.

---

Please write out number 7 again, unchanged.
First-principles (GGA-PBEsol) data for a geometry-optimized SrCdNi2 structure, as listed in the Alexandria database.

Cell: 3.1866 3.1866 7.2407 Å, 90.00 90.00 90.00°
Fractional coordinates of all 4 atoms:
Sr: 0.0000 0.0000 0.0000
Cd: 0.5000 0.5000 0.3556
Ni: 0.0000 0.0000 0.5970
Ni: 0.5000 0.5000 0.7096

Results
Its space group is P4mm. Its formation energy is 0.167 eV per atom.